Below is a relaxed structure of ThAlOs, with properties calculated at the PBE-GGA level.

Summary:
* DOS at the Fermi energy: 2.4 states/eV/cell
* total DFT energy (no corrections): -0.28663 hartree per atom
* energy of formation from the pure elements: -336 meV per atom
* total magnetization: 0.00 μB per cell

a b c (Å): 4.383 4.383 3.891
angles (deg): 90.00 90.00 120.00
Fractional coordinates of all 3 atoms:
Th1 0.000 0.000 0.000
Al1 0.333 0.667 0.500
Os1 0.667 0.333 0.500